a) The following is a PBE calculation of a relaxed structure of AcNd4Sm2, from Alexandria via LeMat-Bulk. Values from VASP.

Quantum ESPRESSO input file:
```
&SYSTEM
  ibrav = 0, nat = 7, ntyp = 3
/
ATOMIC_SPECIES
Nd 144.24 Nd.upf
Sm 150.36 Sm.upf
Ac 227.00 Ac.upf
CELL_PARAMETERS angstrom
6.7807 -1.7367 0.0387
-2.3676 6.3238 -1.8437
2.1131 -3.7717 7.7069
ATOMIC_POSITIONS angstrom
Nd 5.1718 0.8256 2.6168
Sm 4.0044 -1.8227 5.1583
Sm 2.5218 2.6380 0.7437
Ac 0.0000 0.0000 0.0000
Nd -1.1838 3.1619 -0.9219
Nd 1.3544 -0.0103 3.2851
Nd 3.3903 -0.8684 0.0194
```

Computed properties:
- Crystal system: monoclinic
- Total magnetization: 0.00 μB per formula unit
- V: 36.89 Å³ per atom
- Density of states at the Fermi level: 12.136 states/eV per cell
- Space group: C2/m, No. 12

b) The following is a PBE calculation of a relaxed structure of AcNd4Sm2, from Alexandria via LeMat-Bulk. Values from VASP.

Quantum ESPRESSO input file:
```
&SYSTEM
  ibrav = 0, nat = 7, ntyp = 3
/
ATOMIC_SPECIES
Nd 144.24 Nd.upf
Ac 227.00 Ac.upf
Sm 150.36 Sm.upf
CELL_PARAMETERS angstrom
-0.0143 -3.2199 3.3831
-3.3754 -2.3311 -2.2328
9.9503 -3.4953 -6.5085
ATOMIC_POSITIONS angstrom
Nd 2.3431 -1.7798 -1.6840
Nd 4.1206 -4.7453 -1.2751
Ac 0.0000 0.0000 0.0000
Sm 6.5291 -4.9595 -4.6927
Nd 2.4400 -4.3009 -4.0831
Nd 4.2175 -7.2664 -3.6742
Sm 0.0314 -4.0867 -0.6656
```

Computed properties:
- Crystal system: tetragonal
- Total magnetization: 0.00 μB per formula unit
- V: 37.22 Å³ per atom
- Density of states at the Fermi level: 10.206 states/eV per cell
- Space group: I4/mmm, No. 139

The data favor a); the next most stable structure lies 8 meV per atom above it.

a) The following is a PBE calculation of a relaxed structure of Ac2Nd2Sm3, from Alexandria via LeMat-Bulk. Values from VASP.

Quantum ESPRESSO input file:
```
&SYSTEM
  ibrav = 0, nat = 7, ntyp = 3
/
ATOMIC_SPECIES
Sm 150.36 Sm.upf
Ac 227.00 Ac.upf
Nd 144.24 Nd.upf
CELL_PARAMETERS angstrom
3.6908 0.0000 0.0000
0.0000 8.9682 -0.7399
-1.8454 -3.7180 8.2987
ATOMIC_POSITIONS angstrom
Sm 1.8454 -0.4437 4.6541
Ac 1.8454 3.3906 5.3932
Ac 0.0000 1.8596 2.1656
Nd 1.8454 7.6249 0.4431
Sm 0.0000 4.4841 -0.3700
Nd 0.0000 -2.3747 7.1156
Sm 0.0000 5.6939 2.9047
```

Computed properties:
- Crystal system: monoclinic
- Total magnetization: 0.00 μB per formula unit
- V: 37.79 Å³ per atom
- Density of states at the Fermi level: 10.377 states/eV per cell
- Space group: C2/m, No. 12

b) The following is a PBE calculation of a relaxed structure of Ac2Nd2Sm3, from Alexandria via LeMat-Bulk. Values from VASP.

Quantum ESPRESSO input file:
```
&SYSTEM
  ibrav = 0, nat = 7, ntyp = 3
/
ATOMIC_SPECIES
Ac 227.00 Ac.upf
Nd 144.24 Nd.upf
Sm 150.36 Sm.upf
CELL_PARAMETERS angstrom
3.6175 0.0000 0.0000
0.0000 5.8800 -0.2230
0.0000 3.3911 12.1506
ATOMIC_POSITIONS angstrom
Ac 0.0000 6.2593 10.1374
Nd 1.8087 3.2532 8.5287
Ac 0.0000 3.0118 1.7902
Sm 0.0000 0.0000 0.0000
Sm 0.0000 3.1389 5.2634
Nd 1.8087 6.0179 3.3989
Sm 0.0000 6.1322 6.6642
```

Computed properties:
- Crystal system: monoclinic
- Total magnetization: 0.00 μB per formula unit
- V: 37.31 Å³ per atom
- Density of states at the Fermi level: 10.887 states/eV per cell
- Space group: P2/m, No. 10

The data favor a); the next most stable structure lies 38 meV per atom above it.

a) The following is a PBE calculation of a relaxed structure of AcNd6Sm2, from Alexandria via LeMat-Bulk. Values from VASP.

Quantum ESPRESSO input file:
```
&SYSTEM
  ibrav = 0, nat = 9, ntyp = 3
/
ATOMIC_SPECIES
Nd 144.24 Nd.upf
Sm 150.36 Sm.upf
Ac 227.00 Ac.upf
CELL_PARAMETERS angstrom
3.2000 -0.5117 -1.6359
-0.9254 8.9376 -4.6059
-1.8642 0.4410 12.2978
ATOMIC_POSITIONS angstrom
Nd -0.3819 3.0751 2.3072
Sm -0.4850 3.1033 6.1194
Ac 0.0000 0.0000 0.0000
Nd 1.2889 2.7487 -2.3663
Nd 1.4052 -0.1282 6.7997
Sm 0.8954 5.7636 -0.0634
Nd 0.9857 5.6772 -3.8754
Nd 0.7923 5.7918 3.7489
Nd -0.9948 8.9951 -0.7436
```

Computed properties:
- Crystal system: monoclinic
- Total magnetization: 0.00 μB per formula unit
- V: 35.71 Å³ per atom
- Density of states at the Fermi level: 12.905 states/eV per cell
- Space group: C2/m, No. 12

b) The following is a PBE calculation of a relaxed structure of AcNd6Sm2, from Alexandria via LeMat-Bulk. Values from VASP.

Quantum ESPRESSO input file:
```
&SYSTEM
  ibrav = 0, nat = 18, ntyp = 3
/
ATOMIC_SPECIES
Nd 144.24 Nd.upf
Sm 150.36 Sm.upf
Ac 227.00 Ac.upf
CELL_PARAMETERS angstrom
5.9991 1.4741 1.4271
3.8419 11.5139 -1.5085
3.8419 -1.1346 11.5567
ATOMIC_POSITIONS angstrom
Nd 6.4021 7.5329 5.4153
Nd 9.4016 6.3936 8.0670
Sm 4.9214 2.1465 4.4510
Sm 11.7611 8.0721 10.1877
Nd 11.1221 11.3861 9.1454
Ac 8.3413 9.4581 2.8273
Nd 5.5604 3.0809 1.1050
Nd 2.5608 0.4672 2.3300
Nd 4.2814 5.4598 3.4083
Nd 8.1226 8.7724 10.3703
Nd 2.9057 0.4305 6.7427
Nd 10.7773 11.4228 4.7327
Sm 8.7616 9.7068 7.0243
Nd 7.2809 4.3205 6.0600
Sm 1.9218 3.7812 1.2876
Ac 5.3417 2.3952 8.6480
Nd 7.7777 4.3632 10.5500
Nd 5.9053 7.4901 0.9254
```

Computed properties:
- Crystal system: monoclinic
- Total magnetization: 0.00 μB per formula unit
- V: 35.81 Å³ per atom
- Density of states at the Fermi level: 29.702 states/eV per cell
- Space group: C2/m, No. 12

The data favor a); the next most stable structure lies 48 meV per atom above it.

a) The following is a PBE calculation of a relaxed structure of Ac2Nd12Sm5, from Alexandria via LeMat-Bulk. Values from VASP.

Quantum ESPRESSO input file:
```
&SYSTEM
  ibrav = 0, nat = 19, ntyp = 3
/
ATOMIC_SPECIES
Ac 227.00 Ac.upf
Sm 150.36 Sm.upf
Nd 144.24 Nd.upf
CELL_PARAMETERS angstrom
11.8472 0.0000 0.0000
-5.9236 6.6949 0.5825
0.0000 3.6164 8.9665
ATOMIC_POSITIONS angstrom
Ac 8.7120 0.0000 0.0000
Sm 0.0000 1.8082 4.4832
Sm 0.0000 4.9896 2.5104
Nd 5.9236 8.3993 8.8992
Nd -3.0272 7.0511 7.5534
Nd 2.5903 6.7710 4.2712
Nd 8.9508 3.2601 1.9956
Nd 0.0000 8.4842 7.4445
Nd 3.0272 7.0511 7.5534
Nd 3.3332 3.5403 5.2778
Sm 5.9236 5.3216 7.0386
Ac 3.1352 0.0000 0.0000
Nd 8.5139 3.5403 5.2778
Sm 0.0000 4.9684 6.2364
Nd 5.9236 1.8271 2.1045
Nd 0.0000 1.9119 0.6498
Nd -2.5904 6.7710 4.2712
Sm 5.9236 5.3429 3.3126
Nd 2.8963 3.2601 1.9956
```

Computed properties:
- Crystal system: monoclinic
- Total magnetization: 0.00 μB per formula unit
- V: 36.12 Å³ per atom
- Density of states at the Fermi level: 29.960 states/eV per cell
- Space group: C2/m, No. 12

b) The following is a PBE calculation of a relaxed structure of Ac2Nd12Sm5, from Alexandria via LeMat-Bulk. Values from VASP.

Quantum ESPRESSO input file:
```
&SYSTEM
  ibrav = 0, nat = 19, ntyp = 3
/
ATOMIC_SPECIES
Sm 150.36 Sm.upf
Nd 144.24 Nd.upf
Ac 227.00 Ac.upf
CELL_PARAMETERS angstrom
-1.8026 -10.4694 5.4064
4.0879 0.8105 -10.2082
5.2242 0.9187 3.5209
ATOMIC_POSITIONS angstrom
Sm 2.6121 0.4593 1.7604
Sm 4.6797 -5.9752 3.1301
Sm 4.1912 -1.4074 -1.3280
Nd 2.4739 -8.2143 4.6279
Ac -0.4013 -2.3307 1.2035
Nd 0.9591 -5.5063 2.7976
Sm 3.3183 -7.3328 0.0470
Nd 5.0357 -0.5259 -5.9089
Nd 1.5292 -8.4994 -2.8085
Ac -1.4013 -8.1388 4.2028
Nd 1.9020 -4.2878 -0.9466
Nd 5.6076 -4.4524 -0.3344
Nd 6.5504 -3.2340 -4.0786
Nd 5.9803 -0.2409 1.5275
Nd 4.1345 -5.7599 -3.2061
Sm 2.8298 -2.7651 -4.4111
Nd 3.3750 -2.9804 1.9251
Nd 6.4880 0.6610 -2.9749
Nd 1.0216 -9.4012 1.6939
```

Computed properties:
- Crystal system: monoclinic
- Total magnetization: 0.00 μB per formula unit
- V: 36.02 Å³ per atom
- Density of states at the Fermi level: 28.508 states/eV per cell
- Space group: C2/m, No. 12

The data favor b); the next most stable structure lies 6 meV per atom above it.